No. 1
Density functional theory data (GGA-PBE) for a geometry-optimized CrHg2Ru structure.

Cell lengths 6.5769, 6.5769, 6.5769 Å; angles 90.00, 90.00, 90.00 degrees
Space group F-43m (No. 216)
Symmetry-distinct sites (fractional):
Cr 0.0000 0.0000 0.0000 x4
Hg 0.0000 0.0000 0.5000 x4
Hg 0.2500 0.2500 0.2500 x4
Ru 0.2500 0.2500 0.7500 x4

Results
- formation energy from the elements (eV/atom) = 0.640


No. 2
Density functional theory data (GGA-PBE) for a geometry-optimized Pr8P6S structure.

Cell lengths 10.6007, 10.6007, 4.3668 Å; angles 90.00, 90.00, 120.00 degrees
Space group P-3 (No. 147)
Symmetry-distinct sites (fractional):
Pr 0.0325 0.6925 0.2402 x6
Pr 0.3333 0.6667 0.7531 x2
P 0.1334 0.4766 0.2575 x6
S 0.0000 0.0000 0.0000 x1

Results
- ΔE_f (raw) (eV per atom) = -1.207


No. 3
Density functional theory data (GGA-PBE) for a geometry-optimized Mg2Sc5Pd2Au structure.

Cell lengths 11.1962, 11.1962, 3.4536 Å; angles 90.00, 90.00, 90.00 degrees
Space group P4/mbm (No. 127)
Symmetry-distinct sites (fractional):
Mg 0.1727 0.3273 0.0000 x4
Sc 0.0000 0.5000 0.5000 x2
Sc 0.0710 0.8044 0.5000 x8
Pd 0.1327 0.6327 0.0000 x4
Au 0.0000 0.0000 0.0000 x2

Results
- formation energy from the elements (eV/atom) = -0.538


Which formula does entry 3 have? Mg2Sc5Pd2Au